Computed, not measured: crystalline Na2H2WO6 at its relaxed geometry at the GGA+U level of DFT.

## Properties
As for the space-group type: P-3m1 (164). The calculation puts the total energy at -58.79 eV per cell. The calculation puts the density of states at the Fermi level at 0.273 states/eV per atom.

a = 5.093 Å, b = 5.093 Å, c = 5.302 Å
α = 90.00°, β = 90.00°, γ = 120.00°
Each line ends with the local moment (μB).
Sites, in units of the cell vectors:
H: 0.333 0.667 0.801  -0.01
H: 0.667 0.333 0.199  -0.01
O: 0.824 0.647 0.220  0.32
O: 0.353 0.177 0.220  0.32
O: 0.647 0.823 0.780  0.32
O: 0.177 0.824 0.780  0.32
O: 0.823 0.176 0.220  0.32
O: 0.176 0.353 0.780  0.32
W: 0.000 0.000 0.000  -0.19
Na: 0.333 0.667 0.357  0.00
Na: 0.667 0.333 0.643  0.00